The following is a DFT calculation (PBE) of an optimized crystal structure of La2Si2S.

Output
Density of states at the Fermi level in states/eV per atom: 0.4545
ΔE_f (raw) in eV/atom: -0.95
Raw total energy in eV per atom: -5.914

The structure in CIF format:
```
data_La2Si2S
_chemical_formula_sum 'La4 Si4 S2'
_symmetry_space_group_name_H-M 'P 4/m b m'
_symmetry_Int_Tables_number 127
_symmetry_space_group_name_Hall '-P 4 2ab'
_cell_length_a 7.8970
_cell_length_b 7.8970
_cell_length_c 4.4108
_cell_angle_alpha 90.00
_cell_angle_beta 90.00
_cell_angle_gamma 90.00
loop_
_atom_site_label
_atom_site_type_symbol
_atom_site_fract_x
_atom_site_fract_y
_atom_site_fract_z
La1 La 0.1874 0.3126 0.0000
Si1 Si 0.1011 0.6011 0.5000
S1 S 0.0000 0.0000 0.0000
```



The following is a DFT calculation (PBE) of an optimized crystal structure of LaSiS4.

Output
Density of states at the Fermi level in states/eV per atom: 0.5470
ΔE_f (raw) in eV/atom: -1.04
Raw total energy in eV per atom: -5.517

The structure in CIF format:
```
data_LaSiS4
_chemical_formula_sum 'La4 Si4 S16'
_symmetry_space_group_name_H-M 'C 1 2/c 1'
_symmetry_Int_Tables_number 15
_symmetry_space_group_name_Hall '-C 2yc'
_cell_length_a 9.6208
_cell_length_b 6.7178
_cell_length_c 9.3714
_cell_angle_alpha 90.00
_cell_angle_beta 98.96
_cell_angle_gamma 90.00
loop_
_atom_site_label
_atom_site_type_symbol
_atom_site_fract_x
_atom_site_fract_y
_atom_site_fract_z
La1 La 0.2500 0.2500 0.0000
Si1 Si 0.0000 0.1654 0.2500
S1 S 0.0471 0.3152 0.4523
S2 S 0.1822 0.0077 0.7358
```